FeCuTe2N after structural relaxation, computed with PBE-GGA.

The structure belongs to space group P4/mmm (No. 123); the cell edges are 5.345, 5.345 and 3.489 Å and the angles 90.00°, 90.00° and 90.00°. The distinct sites, in fractional coordinates, are Fe at (0.000, 0.000, 0.000), Cu at (0.500, 0.500, 0.500), Te at (0.000, 0.500, 0.500) and N at (0.500, 0.500, 0.000).

Its raw formation energy is 1.011 eV per atom. Its size of the total moment is 3.89 μB per formula unit. The density comes out at 6.472 g cm⁻³.